Np3Tl3GaTe8 | the Alexandria database | PBE | relaxed; formation energy from raw total energies = -0.461 eV per atom; crystal system = monoclinic; DOS(E_F) = 28.74 states/eV per cell; calculated density = 7.24 Mg/m³; symmetry = No. 12
1.0
7.660 -4.426 0.000
7.660 4.426 0.000
-5.107 0.000 8.172
Np Tl Ga Te
3 3 1 8
direct
0.000 0.000 0.000 Np
0.000 0.500 0.000 Np
0.500 0.000 0.000 Np
0.000 0.500 0.500 Tl
0.500 0.000 0.500 Tl
0.500 0.500 0.500 Tl
0.500 0.500 0.000 Ga
0.238 0.238 0.215 Te
0.240 0.731 0.202 Te
0.269 0.269 0.798 Te
0.269 0.760 0.798 Te
0.731 0.240 0.202 Te
0.731 0.731 0.202 Te
0.760 0.269 0.798 Te
0.762 0.762 0.785 Te